A geometry-optimized BiPbBrO2 structure. Source: the Alexandria database, functional PBE.

DOS at the Fermi energy in states/eV/cell: 0.00
Uncorrected formation energy in meV/atom: -1198
Symmetry: I4mm, No. 107
Uncorrected energy in eV/atom: -5.0339

abc: 7.254 7.254 7.254
angles: 147.91 147.91 46.02
Sites, in units of the cell vectors:
O 0.757 0.257 0.500
O 0.257 0.757 0.500
Bi 0.341 0.341 0.000
Br 0.988 0.988 0.000
Pb 0.656 0.656 0.000